1.
# Th2Ga3Ru PBE optimized geometry
# DOS(E_F): 10.052 states/eV per cell
# Energy relative to the elements: -0.554 eV/atom
# Calculated density: 9.99 g cm⁻³
data_Th2Ga3Ru
_symmetry_space_group_name_H-M 'C 1 m 1'
_symmetry_Int_Tables_number 8
_cell_length_a 10.496
_cell_length_b 4.459
_cell_length_c 7.241
_cell_angle_alpha 90.00
_cell_angle_beta 130.55
_cell_angle_gamma 90.00
loop_
_symmetry_equiv_pos_as_xyz
'x,y,z'
'x,-y,z'
'x+1/2,y+1/2,z'
'x+1/2,-y+1/2,z'
loop_
_atom_site_label
_atom_site_fract_x
_atom_site_fract_y
_atom_site_fract_z
Th1 0.000 0.000 0.000
Th2 0.106 0.000 0.617
Ga1 0.208 0.500 0.006
Ga2 0.222 0.500 0.413
Ga3 0.382 0.000 0.223
Ru1 0.384 0.000 0.625

2.
# ThGa3Ru PBE optimized geometry
# DOS(E_F): 3.276 states/eV per cell
# Energy relative to the elements: -0.418 eV/atom
# Energy above the lowest structure with this stoichiometry: 0.0 meV per atom
# Calculated density: 9.19 g cm⁻³
data_ThGa3Ru
_symmetry_space_group_name_H-M 'P 4 m m'
_symmetry_Int_Tables_number 99
_cell_length_a 4.272
_cell_length_b 4.272
_cell_length_c 5.368
_cell_angle_alpha 90.00
_cell_angle_beta 90.00
_cell_angle_gamma 90.00
loop_
_symmetry_equiv_pos_as_xyz
'x,y,z'
'-y,x,z'
'-x,-y,z'
'y,-x,z'
'-x,y,z'
'y,x,z'
'x,-y,z'
'-y,-x,z'
loop_
_atom_site_label
_atom_site_fract_x
_atom_site_fract_y
_atom_site_fract_z
Th1 0.000 0.000 0.000
Ga1 0.000 0.500 0.473
Ga2 0.500 0.500 0.761
Ru1 0.500 0.500 0.216

3.
# Th4Ga16Ru3 PBE optimized geometry
# DOS(E_F): 11.085 states/eV per cell
# Energy relative to the elements: -0.528 eV/atom
# Calculated density: 8.69 g cm⁻³
data_Th4Ga16Ru3
_symmetry_space_group_name_H-M 'P 4/m m m'
_symmetry_Int_Tables_number 123
_symmetry_space_group_name_Hall '-P 4 2'
_cell_length_a 6.264
_cell_length_b 6.264
_cell_length_c 11.430
_cell_angle_alpha 90.00
_cell_angle_beta 90.00
_cell_angle_gamma 90.00
loop_
_atom_site_label
_atom_site_fract_x
_atom_site_fract_y
_atom_site_fract_z
Th1 0.000 0.500 0.197
Ga1 0.000 0.000 0.197
Ga2 0.212 0.212 0.000
Ga3 0.252 0.252 0.386
Ga4 0.500 0.500 0.225
Ru1 0.000 0.500 0.500
Ru2 0.500 0.500 0.000

4.
# Th2GaRu3 PBE optimized geometry
# DOS(E_F): 19.098 states/eV per cell
# Energy relative to the elements: -0.485 eV/atom
# Energy above the lowest structure with this stoichiometry: 0.0 meV per atom
# Calculated density: 12.13 g cm⁻³
data_Th2GaRu3
_symmetry_space_group_name_H-M 'R -3 m'
_symmetry_Int_Tables_number 166
_symmetry_space_group_name_Hall '-R 3 2"'
_cell_length_a 5.7733
_cell_length_b 5.7733
_cell_length_c 11.9108
_cell_angle_alpha 90.00
_cell_angle_beta 90.00
_cell_angle_gamma 120.00
loop_
_atom_site_label
_atom_site_fract_x
_atom_site_fract_y
_atom_site_fract_z
Th1 0.0000 0.0000 0.1346
Ga1 0.0000 0.0000 0.5000
Ru1 0.0000 0.5000 0.0000

What did the first record say?
# Th2Ga3Ru PBE optimized geometry
# DOS(E_F): 10.052 states/eV per cell
# Energy relative to the elements: -0.554 eV/atom
# Calculated density: 9.99 g cm⁻³
data_Th2Ga3Ru
_symmetry_space_group_name_H-M 'C 1 m 1'
_symmetry_Int_Tables_number 8
_cell_length_a 10.496
_cell_length_b 4.459
_cell_length_c 7.241
_cell_angle_alpha 90.00
_cell_angle_beta 130.55
_cell_angle_gamma 90.00
loop_
_symmetry_equiv_pos_as_xyz
'x,y,z'
'x,-y,z'
'x+1/2,y+1/2,z'
'x+1/2,-y+1/2,z'
loop_
_atom_site_label
_atom_site_fract_x
_atom_site_fract_y
_atom_site_fract_z
Th1 0.000 0.000 0.000
Th2 0.106 0.000 0.617
Ga1 0.208 0.500 0.006
Ga2 0.222 0.500 0.413
Ga3 0.382 0.000 0.223
Ru1 0.384 0.000 0.625

Please write out number 4 again, unchanged.
# Th2GaRu3 PBE optimized geometry
# DOS(E_F): 19.098 states/eV per cell
# Energy relative to the elements: -0.485 eV/atom
# Energy above the lowest structure with this stoichiometry: 0.0 meV per atom
# Calculated density: 12.13 g cm⁻³
data_Th2GaRu3
_symmetry_space_group_name_H-M 'R -3 m'
_symmetry_Int_Tables_number 166
_symmetry_space_group_name_Hall '-R 3 2"'
_cell_length_a 5.7733
_cell_length_b 5.7733
_cell_length_c 11.9108
_cell_angle_alpha 90.00
_cell_angle_beta 90.00
_cell_angle_gamma 120.00
loop_
_atom_site_label
_atom_site_fract_x
_atom_site_fract_y
_atom_site_fract_z
Th1 0.0000 0.0000 0.1346
Ga1 0.0000 0.0000 0.5000
Ru1 0.0000 0.5000 0.0000

Question: Look up the energy relative to the elements of the second one.
Answer: -0.418 eV/atom